## w
First-principles (GGA-PBE) data for crystalline RbS5 at its relaxed geometry, as listed in the Alexandria database.

Computed properties:
Space-group type: P1 (1)

```
RbS5
1.0
-4.668 -5.922 -4.823
4.731 5.546 10.798
-7.965 -2.773 -1.494
S Rb
5 1
direct
0.404 0.387 0.590
0.367 0.183 0.526
0.907 0.166 0.611
0.163 0.503 0.117
0.586 0.675 0.122
0.740 0.418 0.867
```


## x
First-principles (GGA-PBE) data for crystalline RbS5 at its relaxed geometry, as listed in the Alexandria database.

Computed properties:
Space-group type: Cmmm (65)

```
RbS5
1.0
3.551 0.000 0.000
0.000 5.568 0.000
0.000 -2.784 6.885
S Rb
5 1
direct
0.000 0.361 0.721
0.000 0.639 0.279
0.500 0.255 0.509
0.500 0.500 0.000
0.500 0.745 0.491
0.000 0.000 0.000
```


It comes down to w, which is 282 meV per atom more stable than the next structure.


## w
First-principles (GGA-PBE) data for crystalline Rb2Sb2S5 at its relaxed geometry, as listed in the Alexandria database.

Computed properties:
Space-group type: P-1 (2)

```
Rb2Sb2S5
1.0
-1.739 0.295 5.543
4.432 -5.588 1.781
3.085 7.727 -2.826
S Sb Rb
5 2 2
direct
0.916 0.420 0.844
0.000 0.000 0.000
0.630 0.052 0.363
0.084 0.580 0.156
0.370 0.948 0.637
0.810 0.001 0.678
0.190 0.999 0.322
0.418 0.667 0.847
0.582 0.333 0.153
```


## x
First-principles (GGA-PBE) data for crystalline Rb2Sb2S5 at its relaxed geometry, as listed in the Alexandria database.

Computed properties:
Space-group type: C2/m (12)

```
Rb2Sb2S5
1.0
5.457 0.000 0.000
-2.728 7.198 -0.459
0.000 -1.607 7.773
Sb S Rb
2 5 2
direct
0.153 0.306 0.885
0.847 0.694 0.115
0.148 0.296 0.590
0.325 0.651 0.053
0.852 0.704 0.410
0.675 0.349 0.947
0.000 0.000 0.000
0.604 0.209 0.326
0.396 0.791 0.674
```


It comes down to w, which is 40 meV per atom more stable than the next structure.


## w
First-principles (GGA-PBE) data for crystalline Rb2Sb4S7 at its relaxed geometry, as listed in the Alexandria database.

Computed properties:
Space-group type: P2_1/c (14)

```
Rb2Sb4S7
1.0
-2.410 12.236 1.411
-5.277 -0.460 -5.022
-10.766 -2.294 1.506
S Rb Sb
14 4 8
direct
0.500 0.000 0.500
0.203 0.676 0.322
0.000 0.000 0.000
0.532 0.385 0.779
0.233 0.189 0.334
0.297 0.676 0.822
0.968 0.385 0.279
0.703 0.324 0.178
0.032 0.615 0.721
0.797 0.324 0.678
0.767 0.811 0.666
0.267 0.189 0.834
0.468 0.615 0.221
0.733 0.811 0.166
0.440 0.141 0.151
0.060 0.141 0.651
0.940 0.859 0.349
0.560 0.859 0.849
0.862 0.401 0.851
0.138 0.599 0.149
0.846 0.668 0.061
0.654 0.668 0.561
0.362 0.599 0.649
0.638 0.401 0.351
0.154 0.332 0.939
0.346 0.332 0.439
```


## x
First-principles (GGA-PBE) data for crystalline Rb2Sb4S7 at its relaxed geometry, as listed in the Alexandria database.

Computed properties:
Space-group type: P-1 (2)

```
Rb2Sb4S7
1.0
7.844 -0.031 0.067
-2.269 9.493 0.076
0.583 -1.958 11.590
S Sb Rb
14 8 4
direct
0.643 0.331 0.955
0.555 0.937 0.846
0.865 0.329 0.225
0.451 0.432 0.712
0.226 0.018 0.531
0.445 0.063 0.154
0.774 0.982 0.469
0.029 0.695 0.351
0.803 0.872 0.153
0.357 0.669 0.045
0.549 0.568 0.288
0.135 0.671 0.775
0.971 0.305 0.649
0.197 0.128 0.847
0.501 0.809 0.228
0.975 0.051 0.657
0.834 0.568 0.187
0.723 0.139 0.051
0.499 0.191 0.772
0.166 0.432 0.813
0.025 0.949 0.343
0.277 0.861 0.949
0.587 0.266 0.442
0.734 0.671 0.887
0.266 0.329 0.113
0.413 0.734 0.558
```


It comes down to x, which is 12 meV per atom more stable than the next structure.


## w
First-principles (GGA-PBE) data for crystalline RbSb2TeS at its relaxed geometry, as listed in the Alexandria database.

Computed properties:
Space-group type: P4/mmm (123)

```
RbSb2TeS
1.0
6.277 0.000 0.000
0.000 6.277 0.000
0.000 0.000 6.256
Sb Rb Te S
2 1 1 1
direct
0.500 0.000 0.000
0.000 0.500 0.000
0.000 0.000 0.000
0.000 0.000 0.500
0.500 0.500 0.500
```


## x
First-principles (GGA-PBE) data for crystalline RbSb2TeS at its relaxed geometry, as listed in the Alexandria database.

Computed properties:
Space-group type: P4/mmm (123)

```
RbSb2TeS
1.0
5.431 0.000 0.000
0.000 5.431 0.000
0.000 0.000 5.549
Te Rb Sb S
1 1 2 1
direct
0.000 0.000 0.500
0.500 0.500 0.500
0.000 0.500 0.000
0.500 0.000 0.000
0.000 0.000 0.000
```


It comes down to x, which is 1487 meV per atom more stable than the next structure.


## w
First-principles (GGA-PBE) data for crystalline Rb3ScS3 at its relaxed geometry, as listed in the Alexandria database.

Computed properties:
Space-group type: P2_1/c (14)

```
Rb3ScS3
1.0
-6.441 -4.738 -1.951
3.579 -4.391 6.495
-7.829 6.936 9.004
S Rb Sc
12 12 4
direct
0.519 0.203 0.688
0.602 0.733 0.955
0.019 0.703 0.812
0.036 0.868 0.097
0.481 0.797 0.312
0.964 0.132 0.903
0.898 0.767 0.455
0.102 0.233 0.545
0.464 0.632 0.597
0.536 0.368 0.403
0.398 0.267 0.045
0.981 0.297 0.188
0.780 0.111 0.393
0.640 0.026 0.124
0.360 0.974 0.876
0.140 0.526 0.376
0.786 0.953 0.678
0.214 0.047 0.322
0.220 0.889 0.607
0.714 0.547 0.178
0.280 0.611 0.107
0.720 0.389 0.893
0.286 0.453 0.822
0.860 0.474 0.624
0.894 0.841 0.935
0.606 0.659 0.435
0.394 0.341 0.565
0.106 0.159 0.065
```


## x
First-principles (GGA-PBE) data for crystalline Rb3ScS3 at its relaxed geometry, as listed in the Alexandria database.

Computed properties:
Space-group type: C2/m (12)

```
Rb3ScS3
1.0
8.254 0.173 -0.074
-3.522 7.467 -0.074
-0.787 -1.270 7.912
Rb S Sc
6 6 2
direct
0.747 0.253 0.000
0.253 0.747 0.000
0.382 0.382 0.642
0.618 0.618 0.358
0.182 0.818 0.500
0.818 0.182 0.500
0.558 0.842 0.729
0.842 0.558 0.729
0.901 0.901 0.174
0.099 0.099 0.826
0.442 0.158 0.271
0.158 0.442 0.271
0.171 0.171 0.144
0.829 0.829 0.856
```


It comes down to x, which is 12 meV per atom more stable than the next structure.


## w
First-principles (GGA-PBE) data for crystalline Rb2SeS4 at its relaxed geometry, as listed in the Alexandria database.

Computed properties:
Space-group type: I4/mmm (139)

```
Rb2SeS4
1.0
4.996 0.000 0.000
0.000 4.996 0.000
2.498 2.498 8.314
S Rb Se
4 2 1
direct
0.000 0.500 0.000
0.500 0.000 0.000
0.144 0.144 0.711
0.856 0.856 0.289
0.647 0.647 0.706
0.353 0.353 0.294
0.000 0.000 0.000
```


## x
First-principles (GGA-PBE) data for crystalline Rb2SeS4 at its relaxed geometry, as listed in the Alexandria database.

Computed properties:
Space-group type: I4mm (107)

```
Rb2SeS4
1.0
7.076 0.229 0.000
0.119 7.079 0.000
-3.597 -3.654 5.134
S Rb Se
4 2 1
direct
0.200 0.223 0.000
0.777 0.800 0.577
0.200 0.223 0.423
0.777 0.800 0.000
0.242 0.758 0.500
0.742 0.258 0.500
0.062 0.938 0.000
```


It comes down to x, which is 66 meV per atom more stable than the next structure.


## w
First-principles (GGA-PBE) data for crystalline Rb3SeS4 at its relaxed geometry, as listed in the Alexandria database.

Computed properties:
Space-group type: Pmn2_1 (31)

```
Rb3SeS4
1.0
6.791 0.000 0.000
0.000 8.828 0.000
0.000 0.000 10.707
Se Rb S
2 6 8
direct
0.483 0.809 0.500
0.983 0.191 0.000
0.051 0.136 0.500
0.561 0.321 0.727
0.551 0.864 0.000
0.061 0.679 0.227
0.061 0.679 0.773
0.561 0.321 0.273
0.074 0.303 0.809
0.049 0.935 0.000
0.074 0.303 0.191
0.574 0.697 0.309
0.574 0.697 0.691
0.161 0.787 0.500
0.661 0.213 0.000
0.549 0.065 0.500
```


## x
First-principles (GGA-PBE) data for crystalline Rb3SeS4 at its relaxed geometry, as listed in the Alexandria database.

Computed properties:
Space-group type: Cm (8)

```
Rb3SeS4
1.0
-3.658 0.564 -2.911
2.963 -1.335 -3.982
-0.225 -11.703 1.823
S Se Rb
4 1 3
direct
0.324 0.155 0.649
0.595 0.715 0.190
0.675 0.849 0.350
0.405 0.283 0.810
0.500 0.997 0.000
0.822 0.662 0.645
0.178 0.342 0.356
0.000 0.496 0.000
```


It comes down to x, which is 146 meV per atom more stable than the next structure.


## w
First-principles (GGA-PBE) data for crystalline Rb2SeS3 at its relaxed geometry, as listed in the Alexandria database.

Computed properties:
Space-group type: C2/c (15)

```
Rb2SeS3
1.0
-5.227 -3.689 1.321
5.780 -1.204 3.356
-5.745 9.175 2.893
Rb S Se
4 6 2
direct
0.831 0.338 0.111
0.507 0.338 0.611
0.493 0.662 0.389
0.169 0.662 0.889
0.277 0.000 0.250
0.997 0.351 0.507
0.354 0.351 0.007
0.723 0.000 0.750
0.646 0.649 0.993
0.003 0.649 0.493
0.937 0.000 0.250
0.063 0.000 0.750
```


## x
First-principles (GGA-PBE) data for crystalline Rb2SeS3 at its relaxed geometry, as listed in the Alexandria database.

Computed properties:
Space-group type: P-3m1 (164)

```
Rb2SeS3
1.0
7.656 0.000 0.000
-3.828 6.630 0.000
0.000 0.000 9.123
S Se Rb
6 2 4
direct
0.819 0.638 0.726
0.362 0.181 0.726
0.181 0.362 0.274
0.819 0.181 0.726
0.181 0.819 0.274
0.638 0.819 0.274
0.333 0.667 0.179
0.667 0.333 0.821
0.667 0.333 0.375
0.333 0.667 0.625
0.000 0.000 0.500
0.000 0.000 0.000
```


It comes down to w, which is 9 meV per atom more stable than the next structure.


## w
First-principles (GGA-PBE) data for crystalline Rb2Se2S3 at its relaxed geometry, as listed in the Alexandria database.

Computed properties:
Space-group type: P-1 (2)

```
Rb2Se2S3
1.0
4.282 0.003 -1.178
-0.281 6.866 -1.060
-0.241 0.918 7.434
S Rb Se
3 2 2
direct
0.667 0.237 0.334
0.333 0.763 0.666
0.000 0.500 0.000
0.368 0.268 0.732
0.632 0.732 0.268
0.105 0.218 0.209
0.895 0.782 0.791
```


## x
First-principles (GGA-PBE) data for crystalline Rb2Se2S3 at its relaxed geometry, as listed in the Alexandria database.

Computed properties:
Space-group type: C2/m (12)

```
Rb2Se2S3
1.0
-2.493 4.097 2.206
1.646 -1.996 5.566
6.686 2.853 -4.058
S Rb Se
3 2 2
direct
0.202 0.643 0.404
0.000 0.000 0.000
0.798 0.357 0.596
0.608 0.841 0.215
0.392 0.159 0.785
0.836 0.727 0.673
0.164 0.273 0.327
```


It comes down to w, which is 42 meV per atom more stable than the next structure.


## w
First-principles (GGA-PBE) data for crystalline Rb2SeS at its relaxed geometry, as listed in the Alexandria database.

Computed properties:
Space-group type: Cmcm (63)

```
Rb2SeS
1.0
-2.175 -1.685 -3.873
-2.053 -4.059 5.833
-6.772 5.469 1.423
Se S Rb
2 2 4
direct
0.977 0.954 0.750
0.023 0.046 0.250
0.813 0.626 0.750
0.187 0.374 0.250
0.627 0.254 0.003
0.627 0.254 0.497
0.373 0.746 0.503
0.373 0.746 0.997
```


## x
First-principles (GGA-PBE) data for crystalline Rb2SeS at its relaxed geometry, as listed in the Alexandria database.

Computed properties:
Space-group type: Fm-3m (225)

```
Rb2SeS
1.0
-2.943 -4.745 1.518
-5.534 -0.601 -1.580
-1.455 -3.908 -4.011
Rb Se S
2 1 1
direct
0.750 0.750 0.750
0.250 0.250 0.250
0.500 0.500 0.500
0.000 0.000 0.000
```


It comes down to w, which is 388 meV per atom more stable than the next structure.